In2SnI: relaxed, GGA-PBE.

Lattice parameters (Å, degrees): 5.581 5.581 5.581 60.00 60.00 60.00
Fractional coordinates of all 4 atoms:
1 I 0.500 0.500 0.500
2 Sn 0.000 0.000 0.000
3 In 0.250 0.250 0.250
4 In 0.750 0.750 0.750

VASP energy: -2.696 eV/atom
energy above the lowest structure with this stoichiometry: 0.39 eV/f.u.
total moment: 0.000 μB per cell
formation energy from raw total energies: 62 meV per atom
crystal system: cubic